Record 1
K3Pu2FeSe6 (PBE, relaxed); ρ = 5.52 g/cm3; formation energy (no corrections) = -1.112 eV per atom
1.0
3.594 -6.223 0.000
3.594 6.223 0.000
-2.411 0.000 7.634
K Pu Fe Se
3 2 1 6
Direct
0.000 0.000 0.000
0.331 0.669 0.000
0.669 0.331 0.000
0.166 0.834 0.500
0.834 0.166 0.500
0.500 0.500 0.500
0.118 0.435 0.304
0.248 0.248 0.699
0.435 0.118 0.304
0.565 0.882 0.696
0.752 0.752 0.301
0.882 0.565 0.696



Record 2
KRb2Fe (PBE, relaxed); ρ = 2.12 g/cm3; formation enthalpy at 0 K = 80 kJ/mol of atoms
1.0
9.411 0.000 0.000
0.000 9.411 0.000
0.000 0.000 9.411
K Rb Fe
4 8 4
Direct
0.000 0.000 0.000
0.000 0.500 0.500
0.500 0.000 0.500
0.500 0.500 0.000
0.250 0.250 0.250
0.250 0.250 0.750
0.250 0.750 0.250
0.250 0.750 0.750
0.750 0.250 0.250
0.750 0.250 0.750
0.750 0.750 0.250
0.750 0.750 0.750
0.000 0.000 0.500
0.000 0.500 0.000
0.500 0.000 0.000
0.500 0.500 0.500



Record 3
KRb3Fe (PBE, relaxed); ρ = 1.65 g/cm3; formation enthalpy at 0 K = 67 kJ/mol of atoms; energy above the lowest structure with this stoichiometry = 0.0 kJ/mol of formula units
1.0
7.068 0.000 0.000
0.000 7.068 0.000
0.000 0.000 7.068
K Rb Fe
1 3 1
Direct
0.000 0.000 0.000
0.000 0.500 0.500
0.500 0.000 0.500
0.500 0.500 0.000
0.500 0.500 0.500